Here is a geometry-optimized CdReOs2 structure from Alexandria via LeMat-Bulk. Energies are from PBE.

M_tot	0.0	μB/f.u.
DFT formation energy	56	kJ per mole of atoms

Lattice parameters (Å, degrees): 2.748 2.748 9.524 90.00 90.00 117.15
Fractional coordinates of all 4 atoms:
Cd1 0.000 0.000 0.000
Re1 0.000 0.000 0.500
Os1 0.500 0.500 0.267
Os2 0.500 0.500 0.733